Density functional theory data (PBE) for crystalline PbS2Cl at its relaxed geometry.

The calculated volume is 226 Å³/cell. The total magnetic moment comes out at 0.0000 μB per atom. As for the space-group type: P-1, No. 2. As for the formation energy without anion corrections: -46 kJ/mol of atoms. As for the density: 4509 kg/m3.

Unit cell a=5.413 b=4.681 c=34.499 alpha=34.47 beta=143.98 gamma=117.20
Fractional coordinates of all 8 atoms:
Pb1 0.118 0.564 0.305
Pb2 0.882 0.608 0.695
S1 0.579 0.514 0.855
S2 0.421 0.658 0.145
S3 0.831 0.592 0.090
S4 0.169 0.581 0.910
Cl1 0.225 0.205 0.623
Cl2 0.775 0.968 0.377

=====

Density functional theory data (PBE) for crystalline Sb10Pb10S24Cl3 at its relaxed geometry.

The calculated volume is 1230 Å³/cell. The total magnetic moment comes out at 0.0000 μB per atom. As for the space-group type: P2/m, No. 10. As for the formation energy without anion corrections: -41 kJ/mol of atoms. As for the density: 5623 kg/m3.

Unit cell a=3.990 b=15.499 c=19.972 alpha=84.93 beta=90.00 gamma=90.00
Fractional coordinates of all 47 atoms:
Sb1 0.000 0.490 0.179
Sb2 0.000 0.510 0.821
Sb3 0.000 0.913 0.587
Sb4 0.000 0.087 0.413
Sb5 0.000 0.364 0.011
Sb6 0.000 0.636 0.989
Sb7 0.000 0.981 0.224
Sb8 0.000 0.019 0.776
Sb9 0.000 0.829 0.387
Sb10 0.000 0.171 0.613
Pb1 0.500 0.733 0.145
Pb2 0.500 0.267 0.855
Pb3 0.500 0.780 0.746
Pb4 0.500 0.220 0.254
Pb5 0.500 0.686 0.546
Pb6 0.500 0.314 0.454
Pb7 0.500 0.122 0.059
Pb8 0.500 0.878 0.941
Pb9 0.500 0.588 0.342
Pb10 0.500 0.412 0.658
S1 0.000 0.776 0.039
S2 0.000 0.224 0.961
S3 0.000 0.868 0.830
S4 0.000 0.132 0.170
S5 0.000 0.762 0.639
S6 0.000 0.238 0.361
S7 0.500 0.575 0.084
S8 0.500 0.425 0.916
S9 0.000 0.680 0.438
S10 0.000 0.320 0.562
S11 0.500 0.434 0.256
S12 0.500 0.566 0.744
S13 0.000 0.629 0.233
S14 0.000 0.371 0.767
S15 0.500 0.310 0.092
S16 0.500 0.690 0.908
S17 0.500 0.944 0.147
S18 0.500 0.056 0.853
S19 0.500 0.868 0.500
S20 0.500 0.132 0.500
S21 0.500 0.794 0.309
S22 0.500 0.206 0.691
S23 0.500 0.949 0.678
S24 0.500 0.051 0.322
Cl1 0.000 0.465 0.408
Cl2 0.000 0.535 0.592
Cl3 0.000 0.000 0.000

=====

Density functional theory data (PBE) for crystalline ScPbS2Cl at its relaxed geometry.

The calculated volume is 122 Å³/cell. The total magnetic moment comes out at 0.0000 μB per atom. As for the space-group type: P4/mmm, No. 123. As for the formation energy without anion corrections: -111 kJ/mol of atoms. As for the density: 4770 kg/m3.

Unit cell a=5.030 b=4.840 c=5.030 alpha=90.00 beta=90.00 gamma=90.00
Fractional coordinates of all 5 atoms:
Pb1 0.500 0.500 0.500
Sc1 0.000 0.000 0.000
S1 0.000 0.000 0.500
S2 0.500 0.000 0.000
Cl1 0.000 0.500 0.000

=====

Density functional theory data (PBE) for crystalline ScPbSCl2 at its relaxed geometry.

The calculated volume is 154 Å³/cell. The total magnetic moment comes out at 0.2615 μB per atom. As for the space-group type: P4/mmm, No. 123. As for the formation energy without anion corrections: -26 kJ/mol of atoms. As for the density: 3832 kg/m3.

Unit cell a=5.353 b=5.353 c=5.370 alpha=90.00 beta=90.00 gamma=90.00
Fractional coordinates of all 5 atoms:
Pb1 0.000 0.000 0.000
Sc1 0.500 0.500 0.500
S1 0.000 0.000 0.500
Cl1 0.000 0.500 0.000
Cl2 0.500 0.000 0.000